The following is a DFT calculation (GGA-PBE) of a geometry-optimized Zn2ReAu structure.

Properties
relative energy among the computed polymorphs	422.6	meV/atom
magnetization	1.53	μB per cell
formation enthalpy at 0 K	11.76	kcal/mol of atoms

Unit cell a=4.4659 b=4.4659 c=4.4659 alpha=60.00 beta=60.00 gamma=60.00
Positions (direct):
Au 0.5000 0.5000 0.5000
Re 0.7500 0.7500 0.7500
Zn 0.0000 0.0000 0.0000
Zn 0.2500 0.2500 0.2500

---

The following is a DFT calculation (GGA-PBE) of a geometry-optimized ZnReAu2 structure.

Properties
magnetization	0.00	μB per cell
formation enthalpy at 0 K	11.92	kcal/mol of atoms

Unit cell a=4.8525 b=4.8525 c=4.8525 alpha=130.09 beta=130.09 gamma=73.27
Positions (direct):
Au 0.0000 0.0000 0.0000
Au 0.5000 0.5000 0.0000
Re 0.2500 0.7500 0.5000
Zn 0.7500 0.2500 0.5000

---

The following is a DFT calculation (GGA-PBE) of a geometry-optimized ZnReAu2 structure.

Properties
magnetization	0.51	μB per cell
formation enthalpy at 0 K	9.89	kcal/mol of atoms

Unit cell a=2.7867 b=4.8585 c=4.8840 alpha=90.00 beta=90.00 gamma=90.00
Positions (direct):
Au 0.0000 0.0000 0.0000
Au 0.5000 0.5000 0.0000
Re 0.5000 0.0000 0.5000
Zn 0.0000 0.5000 0.5000

---

The following is a DFT calculation (GGA-PBE) of a geometry-optimized Zn2ReAu structure.

Properties
relative energy among the computed polymorphs	568.9	meV/atom
magnetization	3.18	μB per cell
formation enthalpy at 0 K	15.13	kcal/mol of atoms

Unit cell a=7.0133 b=7.0133 c=5.6694 alpha=51.79 beta=51.79 gamma=90.00
Positions (direct):
Re 0.5000 0.5000 0.0000
Re 0.2500 0.7500 0.5000
Zn 0.6270 0.1250 0.2500
Zn 0.1230 0.6250 0.2500
Zn 0.3750 0.3730 0.7500
Zn 0.8750 0.8770 0.7500
Au 0.0000 0.0000 0.0000
Au 0.7500 0.2500 0.5000